# KYZn, optimized geometry, DFT PBE
# Symmetry   P3m1, No. 156
# Total energy   -2.701 eV/atom
# Magnetic moment   0.000 μB per atom
# Energy of formation   0.244 eV per atom
# Theoretical density   3.08 g/cm³
data_KYZn
_chemical_formula_sum 'K1 Y1 Zn1'
_space_group_name_H-M_alt 'P 1'
_space_group_IT_number 1
_cell_length_a 3.7695
_cell_length_b 3.7695
_cell_length_c 8.4605
_cell_angle_alpha 90.00
_cell_angle_beta 90.00
_cell_angle_gamma 120.00
loop_
_space_group_symop_operation_xyz
'x,y,z'
loop_
_atom_site_label
_atom_site_fract_x
_atom_site_fract_y
_atom_site_fract_z
K1 0.0000 0.0000 0.0000
Y1 0.6667 0.3333 0.4388
Zn1 0.3333 0.6667 0.6766